[1]
MgIn2Sn6 | the Alexandria database | GGA-PBE | optimized geometry; volume = 607 Å³ per cell; energy of formation = 42 kJ/mol of formula units
1.0
4.641 0.000 1.016
0.000 9.584 0.000
2.086 0.000 14.104
Mg Sn In
2 12 4
Cartesian
1.043 0.000 7.052 Mg
2.321 4.792 0.508 Mg
3.394 7.342 13.468 Sn
3.334 2.242 1.653 Sn
2.262 0.001 9.760 Sn
4.671 2.549 6.923 Sn
3.540 4.791 3.216 Sn
3.334 7.341 1.653 Sn
4.465 9.583 5.360 Sn
3.188 4.793 11.904 Sn
3.393 2.243 13.467 Sn
2.056 2.550 8.197 Sn
2.056 7.036 8.197 Sn
4.672 7.035 6.924 Sn
2.465 9.584 3.272 In
4.262 0.001 11.848 In
0.899 4.792 4.288 In
5.829 4.793 10.832 In



[2]
MgIn2Sn | the Alexandria database | GGA-PBE | optimized geometry; volume = 101 Å³ per cell; energy of formation = -14 kJ/mol of formula units; distance to the lowest polymorph of the same formula = 12 meV per atom
1.0
-1.176 4.526 -0.480
-2.227 -0.997 -3.938
-3.893 -0.757 2.394
Sn Mg In
1 1 2
Cartesian
-0.588 2.263 -0.240 Sn
-3.648 1.386 -1.012 Mg
-1.114 -0.498 -1.969 In
-1.947 -0.379 1.197 In



[3]
Mg7In2Sn3 | the Alexandria database | GGA-PBE | optimized geometry; volume = 314 Å³ per cell; energy of formation = 41 kJ/mol of formula units
1.0
3.973 0.000 0.000
0.000 4.709 0.000
0.000 -2.354 16.765
Mg Sn In
7 3 2
Cartesian
0.000 0.000 14.269 Mg
1.987 0.000 2.328 Mg
0.000 2.354 2.497 Mg
0.000 2.354 9.370 Mg
0.000 0.000 0.000 Mg
1.987 2.354 14.437 Mg
0.000 0.000 7.395 Mg
1.987 2.354 0.000 Sn
1.987 0.000 9.847 Sn
1.987 2.354 6.919 Sn
0.000 2.354 12.226 In
0.000 0.000 4.539 In



The records above yield magnetic moment values of 0.00, 0.00, 0.00 μB/f.u., respectively.
The records above yield E_tot values of -3.406, -2.806, -2.351 eV per atom, respectively.